LiTcMoO6: optimized geometry, GGA+U.

Raw total energy (eV/atom): -7.00
Calculated volume (Å³ per atom): 11.4

```
data_LiTcMoO6
_cell_length_a 4.778
_cell_length_b 4.778
_cell_length_c 8.969
_cell_angle_alpha 90.00
_cell_angle_beta 90.00
_cell_angle_gamma 90.00
_space_group_name_H-M_alt 'P 42 n m'
_space_group_IT_number 102
_space_group_name_Hall 'P 4n -2n'
loop_
_atom_site_label
_atom_site_type_symbol
_atom_site_fract_x
_atom_site_fract_y
_atom_site_fract_z
_atom_site_occupancy
Li1 Li 0.000 0.000 0.000 1
Tc1 Tc 0.000 0.000 0.326 1
Mo1 Mo 0.000 0.000 0.671 1
O1 O 0.181 0.181 0.497 1
O2 O 0.210 0.210 0.182 1
O3 O 0.212 0.212 0.813 1
```